No. 1
18
Lattice="-7.5714 -0.9539 4.1803 -1.3472 0.9921 -8.5388 5.0439 -7.0300 0.9216" Properties=species:S:1:pos:R:3 comment="LiSm6Tc2 PBE-GGA relaxed" space_group="No. 71" total_energy_ev_per_atom=-5.64 pbc="T T T"
Sm -6.8407 -1.4898 -2.1389
Sm -2.3842 -5.1277 0.2186
Sm 2.3444 -6.3694 -4.8531
Sm -0.8363 -5.4857 -3.1562
Sm 0.2921 -3.0173 -0.6242
Sm -1.4905 -1.8641 -3.6556
Sm 2.9660 -5.5020 -1.2981
Sm -6.2191 -0.6224 1.4161
Sm -0.0903 -4.1512 -6.5409
Sm -3.0384 -1.5061 -0.2807
Sm -4.1668 -3.9744 -2.8128
Sm -3.7844 -2.8406 3.1039
Li 0.0000 0.0000 0.0000
Li 1.8484 -3.0189 -3.8086
Tc -4.0363 -0.6717 -3.0508
Tc -0.9488 -2.9971 1.9152
Tc -1.5787 -4.9868 3.1867
Tc 0.1616 -6.3201 -0.3862



No. 2
4
Lattice="-0.2287 3.0882 1.6741 -3.4937 -0.3743 0.2130 0.8366 -3.7775 7.0827" Properties=species:S:1:pos:R:3 comment="LiSm2Tc PBE-GGA relaxed" space_group="No. 123" total_energy_ev_per_atom=-5.40 pbc="T T T"
Li -1.4430 -0.5318 4.4849
Sm 0.1722 -0.7777 1.4581
Sm 0.6643 -2.9999 5.6246
Tc -1.8612 1.3569 0.9436



No. 3
80
Lattice="15.0239 0.0000 0.0000 -5.0080 14.1646 0.0000 -5.0080 -7.0823 12.2669" Properties=species:S:1:pos:R:3 comment="Li3Sm12Tc5 PBE-GGA relaxed" space_group="No. 230" total_energy_ev_per_atom=-5.18 pbc="T T T"
Sm -5.1420 10.1051 4.8382
Sm 0.5120 9.1041 8.3678
Sm 3.4048 9.0292 1.0966
Sm -0.9008 5.1355 1.0966
Sm 7.6460 12.7837 0.1987
Sm 10.1500 -3.0227 7.4287
Sm 7.6460 4.0596 4.8382
Sm -3.7292 12.1031 1.2953
Sm 11.2947 3.4502 3.7005
Sm -1.2788 8.4710 4.9957
Sm -1.6031 -0.0237 10.0326
Sm 2.3699 9.7610 5.0369
Sm 5.9088 1.9469 11.1703
Sm 6.2332 10.7144 3.7005
Sm 8.7372 -5.0208 10.9717
Sm 1.6031 1.9231 11.1292
Sm 8.0239 -1.1753 2.4330
Sm 9.5039 0.8465 5.9348
Sm 5.9088 -1.9231 11.1292
Sm 4.4960 -2.0218 3.8991
Sm 6.2867 -1.3887 7.2712
Sm 3.7827 5.6937 4.9957
Sm 4.8739 2.6787 7.2301
Sm 1.9920 5.0605 8.3678
Sm -4.4960 6.2358 6.3321
Sm -1.2252 5.0208 10.9717
Sm 3.4048 5.1592 1.1377
Sm 6.9999 7.9288 6.3321
Sm 1.6031 -1.9469 11.1703
Sm 5.5200 5.9070 9.8340
Sm 0.1341 4.4037 5.0369
Sm 2.6381 -2.6787 7.2301
Sm 10.9167 7.0586 2.2343
Sm 1.2252 1.3887 7.2712
Sm -1.9920 -0.8465 5.9348
Sm -6.2867 3.6321 8.5664
Sm -2.6381 -5.7014 12.0683
Sm -0.9008 9.0055 1.1377
Sm 6.6111 7.1061 2.2343
Sm 6.2332 2.0615 1.2953
Sm 9.8818 1.3809 0.1987
Sm -2.6381 3.0227 7.4287
Sm -0.5120 1.1753 2.4330
Sm 3.0160 2.0218 3.8991
Sm -3.0160 8.2576 9.8340
Sm -5.9088 0.0237 10.0326
Sm -4.8739 5.7014 12.0683
Sm -1.2252 -3.6321 8.5664
Li -6.2599 7.0823 9.2002
Li -3.7560 -2.6559 10.7336
Li -1.2520 6.1970 7.6668
Li 8.7639 9.7382 1.5334
Li 1.2520 7.0823 3.0667
Li 11.2679 0.0000 3.0667
Li 1.2520 -0.8853 4.6001
Li 8.7639 4.4265 1.5334
Li 3.7560 0.0000 9.2002
Li 6.2599 0.8853 4.6001
Li -3.7560 2.6559 10.7336
Li 3.7560 7.9676 7.6668
Tc -1.2520 3.5412 3.0667
Tc -2.5040 -3.5412 6.1335
Tc 3.7560 2.6559 1.5334
Tc -5.0080 3.5412 6.1335
Tc 6.2599 3.5412 9.2002
Tc 1.2520 -3.5412 9.2002
Tc -3.7560 7.9676 4.6001
Tc 7.5119 0.0000 0.0000
Tc 5.0080 7.0823 0.0000
Tc 6.2599 6.1970 4.6001
Tc 1.2520 4.4265 10.7336
Tc 6.2599 -4.4265 10.7336
Tc -1.2520 0.8853 7.6668
Tc 2.5040 3.5412 6.1335
Tc -1.2520 11.5088 1.5334
Tc 0.0000 0.0000 0.0000
Tc 3.7560 10.6235 3.0667
Tc 5.0080 -3.5412 6.1335
Tc -2.5040 7.0823 0.0000
Tc 8.7639 -0.8853 7.6668



No. 4
4
Lattice="-4.5044 0.1071 2.2976 -3.3607 -3.6829 -0.8500 -1.0613 -3.3451 3.6421" Properties=species:S:1:pos:R:3 comment="LiSmThTc PBE-GGA relaxed" space_group="No. 216" total_energy_ev_per_atom=-6.12 pbc="T T T"
Li 0.0000 0.0000 0.0000
Tc -4.4632 -3.4604 2.5448
Th -6.6948 -5.1906 3.8172
Sm -2.2316 -1.7302 1.2724



No. 5
4
Lattice="4.7067 0.0000 0.0000 2.3533 4.0761 0.0000 2.3533 1.3587 3.8430" Properties=species:S:1:pos:R:3 comment="LiSmTiTc PBE-GGA relaxed" space_group="No. 216" total_energy_ev_per_atom=-6.17 pbc="T T T"
Ti 2.3533 1.3587 0.9607
Tc 0.0000 0.0000 0.0000
Li 4.7067 2.7174 1.9215
Sm 7.0600 4.0761 2.8822



No. 6
4
Lattice="4.9866 0.0000 0.0000 2.4933 4.3185 0.0000 2.4933 1.4395 4.0715" Properties=species:S:1:pos:R:3 comment="LiSmYTc PBE-GGA relaxed" space_group="No. 216" total_energy_ev_per_atom=-5.85 pbc="T T T"
Tc 0.0000 0.0000 0.0000
Sm 2.4933 1.4395 1.0179
Y 7.4799 4.3185 3.0536
Li 4.9866 2.8790 2.0358



No. 7
4
Lattice="-4.6076 1.4847 0.0122 -3.5646 -3.1635 -0.8483 -2.9618 -1.3293 3.5909" Properties=species:S:1:pos:R:3 comment="LiSmZrTc PBE-GGA relaxed" space_group="No. 216" total_energy_ev_per_atom=-6.42 pbc="T T T"
Zr -2.7835 -0.7520 0.6887
Li 0.0000 0.0000 0.0000
Tc -5.5670 -1.5041 1.3774
Sm -8.3505 -2.2561 2.0661



No. 8
12
Lattice="-1.0947 2.3589 -3.3393 -5.9820 -6.4424 -2.5898 -5.3838 3.3408 4.1250" Properties=species:S:1:pos:R:3 comment="LiSmTe PBE-GGA relaxed" space_group="No. 62" formation_energy_uncorrected_ev_per_atom=-0.9135 de_polymorph_ev_per_atom=0.036 total_energy_ev_per_atom=-4.17 pbc="T T T"
Li -5.5711 -1.8414 -0.8155
Li -1.9620 1.8360 -2.0832
Li -6.8894 1.0988 -0.9886
Li -10.4986 -2.5786 0.2791
Te -5.7529 3.5274 0.3544
Te -4.5178 0.2880 -2.3388
Te -6.7076 -4.2701 -2.1585
Te -7.9427 -1.0307 0.5347
Sm -4.9803 -2.3762 -4.0692
Sm -7.4802 1.6335 2.2651
Sm -3.7403 1.0918 0.6563
Sm -8.7202 -1.8344 -2.4604



No. 9
12
Lattice="7.0156 0.0665 0.0365 2.3427 7.1568 0.2887 2.3161 1.7543 6.9365" Properties=species:S:1:pos:R:3 comment="LiSmTe PBE-GGA relaxed" space_group="No. 2" formation_energy_uncorrected_ev_per_atom=-0.8201 de_polymorph_ev_per_atom=0.130 total_energy_ev_per_atom=-4.08 pbc="T T T"
Sm 7.9280 4.4682 2.2171
Sm 3.7608 7.2131 1.7163
Sm 7.9138 1.7645 5.5454
Sm 3.7465 4.5095 5.0446
Li 4.7715 0.6052 1.8457
Li 6.9030 8.3724 5.4160
Li 7.1000 5.0591 5.4520
Li 4.5746 3.9185 1.8097
Te 5.2280 6.6263 6.7514
Te 2.8946 2.1723 3.1397
Te 6.4465 2.3513 0.5103
Te 8.7799 6.8053 4.1220



No. 10
6
Lattice="4.2483 0.0000 0.0000 0.0000 4.2483 0.0000 0.0000 0.0000 8.1595" Properties=species:S:1:pos:R:3 comment="LiSmTe PBE-GGA relaxed" space_group="No. 129" formation_energy_uncorrected_ev_per_atom=-0.9436 de_polymorph_ev_per_atom=0.006 total_energy_ev_per_atom=-4.20 pbc="T T T"
Li 0.0000 0.0000 4.0798
Li 2.1241 2.1241 4.0798
Sm 2.1241 0.0000 1.0607
Sm 0.0000 2.1241 7.0989
Te 2.1241 0.0000 5.9821
Te 0.0000 2.1241 2.1774



No. 11
15
Lattice="-4.0313 6.1590 4.9088 3.8137 2.9334 7.4250 3.2661 8.2153 0.3482" Properties=species:S:1:pos:R:3 comment="LiSm6Te8 PBE-GGA relaxed" space_group="No. 225" formation_energy_uncorrected_ev_per_atom=-1.3801 total_energy_ev_per_atom=-5.07 pbc="T T T"
Sm -0.3826 7.1872 2.6285
Sm 1.9069 1.4667 3.7125
Sm -2.0157 3.0795 2.4544
Sm 3.5399 5.5744 3.8866
Sm -0.1088 4.5462 6.1669
Sm 1.6331 4.1077 0.1741
Te 2.6793 5.7679 6.8879
Te 0.6455 8.8751 9.3644
Te 4.3271 9.9125 7.0636
Te 0.7621 4.3269 3.1705
Te 2.4030 8.4326 3.3176
Te 2.2864 12.9808 9.5115
Te -1.2785 7.3952 5.6184
Te 0.3692 11.5398 5.7941
Li 0.0000 0.0000 0.0000



No. 12
14
Lattice="7.0998 0.0000 3.6147 2.6297 6.5948 3.6147 0.0708 0.0480 8.6409" Properties=species:S:1:pos:R:3 comment="Li3SmTe3 PBE-GGA relaxed" space_group="No. 148" formation_energy_uncorrected_ev_per_atom=-1.1720 total_energy_ev_per_atom=-4.01 pbc="T T T"
Sm 3.3220 2.2517 11.0349
Sm 6.4783 4.3911 4.8353
Te 7.2613 1.7843 6.4405
Te 6.3948 2.9197 10.7237
Te 3.4055 3.7231 5.1465
Te 2.5390 4.8585 9.4297
Te 3.3661 0.5588 8.3671
Te 6.4342 6.0840 7.5032
Li 4.5737 1.3046 5.9045
Li 2.0849 2.8776 7.5171
Li 5.2266 5.3382 9.9658
Li 7.7154 3.7652 8.3531
Li 3.7062 5.7720 7.0044
Li 6.0941 0.8708 8.8658